A relaxed structure of ZrCuB, computed with PBE.

Summary:
Theoretical density = 7.03 g/cm³
V = 13.04 Å³/atom
Energy relative to the elements = -546 meV/atom
Electronic total energy = -6.99 eV/atom

CIF file:
```
data_ZrCuB
_cell_length_a 3.495
_cell_length_b 14.116
_cell_length_c 3.173
_cell_angle_alpha 90.00
_cell_angle_beta 90.00
_cell_angle_gamma 90.00
_space_group_name_H-M_alt 'C m c m'
_space_group_IT_number 63
_space_group_name_Hall '-C 2c 2'
loop_
_atom_site_label
_atom_site_type_symbol
_atom_site_fract_x
_atom_site_fract_y
_atom_site_fract_z
_atom_site_occupancy
Zr1 Zr 0.000 0.096 0.250 1
Cu1 Cu 0.000 0.292 0.250 1
B1 B 0.000 0.470 0.250 1
```